1.
Entry from OQMD: LuAgPbS3 after structural relaxation (PBE).

The structure in POSCAR format:
```
LuAgPbS3
1.0
11.9312 0.0000 0.0000
0.0000 4.0007 0.0000
0.0000 0.0000 11.7534
Lu Ag Pb S
4 4 4 12
Direct
0.0293 0.2500 0.1632
0.4707 0.7500 0.6632
0.5293 0.2500 0.3368
0.9707 0.7500 0.8368
0.2419 0.7500 0.3212
0.2581 0.2500 0.8212
0.7419 0.7500 0.1788
0.7581 0.2500 0.6788
0.1613 0.2500 0.5249
0.3387 0.7500 0.0249
0.6613 0.2500 0.9751
0.8387 0.7500 0.4751
0.0303 0.7500 0.3310
0.0851 0.2500 0.9329
0.2479 0.7500 0.6707
0.2521 0.2500 0.1707
0.4149 0.7500 0.4329
0.4697 0.2500 0.8310
0.5303 0.7500 0.1690
0.5851 0.2500 0.5671
0.7479 0.7500 0.8293
0.7521 0.2500 0.3293
0.9149 0.7500 0.0671
0.9697 0.2500 0.6690
```

## Properties
polymorph energy (0 for the lowest one) = 62 meV/atom
size of the total moment = 0.0 μB per formula unit
DFT total energy = -4.88 eV/atom

2.
Entry from OQMD: LuAgPbS3 after structural relaxation (PBE).

The structure in POSCAR format:
```
LuAgPbS3
1.0
8.5979 -1.9518 0.0000
8.5979 1.9518 0.0000
-1.9605 0.0000 8.1467
Lu Ag Pb S
2 2 2 6
Direct
0.1642 0.1642 0.0846
0.8358 0.8358 0.9154
0.4760 0.4760 0.7863
0.5240 0.5240 0.2137
0.1345 0.1345 0.5732
0.8655 0.8655 0.4268
0.0000 0.0000 0.0000
0.3184 0.3184 0.6880
0.3261 0.3261 0.1350
0.5000 0.5000 0.5000
0.6739 0.6739 0.8650
0.6816 0.6816 0.3120
```

## Properties
polymorph energy (0 for the lowest one) = 0 meV/atom
size of the total moment = 0.0 μB per formula unit
DFT total energy = -4.94 eV/atom

3.
Entry from OQMD: LuAgPbS3 after structural relaxation (PBE).

The structure in POSCAR format:
```
LuAgPbS3
1.0
7.4816 0.0000 0.0000
0.0000 3.9723 0.0000
-2.6515 0.0000 9.2841
Lu Ag Pb S
2 2 2 6
Direct
0.1944 0.2500 0.1531
0.8056 0.7500 0.8469
0.4011 0.7500 0.4049
0.5989 0.2500 0.5951
0.2322 0.7500 0.7024
0.7678 0.2500 0.2976
0.0642 0.2500 0.8667
0.2024 0.2500 0.4476
0.4373 0.7500 0.1553
0.5627 0.2500 0.8447
0.7976 0.7500 0.5524
0.9358 0.7500 0.1333
```

## Properties
polymorph energy (0 for the lowest one) = 24 meV/atom
size of the total moment = 0.0 μB per formula unit
DFT total energy = -4.92 eV/atom

4.
Entry from OQMD: LuAgPbSe2S after structural relaxation (PBE).

The structure in POSCAR format:
```
LuAgPbSe2S
1.0
2.0555 -6.8025 0.0000
2.0555 6.8025 0.0000
0.0000 0.0000 10.2955
Lu Ag Pb Se S
2 2 2 4 2
Direct
0.0000 0.0000 0.0000
0.0000 0.0000 0.5000
0.4684 0.5316 0.7500
0.5316 0.4684 0.2500
0.2576 0.7424 0.2500
0.7424 0.2576 0.7500
0.3570 0.6430 0.5450
0.3570 0.6430 0.9550
0.6430 0.3570 0.0450
0.6430 0.3570 0.4550
0.0806 0.9194 0.7500
0.9194 0.0806 0.2500
```

## Properties
size of the total moment = 0.0 μB per formula unit
DFT total energy = -4.65 eV/atom

5.
Entry from OQMD: LuAgPbSe3 after structural relaxation (PBE).

The structure in POSCAR format:
```
LuAgPbSe3
1.0
7.8269 0.0000 0.0000
0.0000 4.0364 0.0000
-2.9911 0.0000 9.5497
Lu Ag Pb Se
2 2 2 6
Direct
0.1918 0.2500 0.1584
0.8082 0.7500 0.8416
0.4103 0.7500 0.4044
0.5897 0.2500 0.5956
0.2394 0.7500 0.7017
0.7606 0.2500 0.2983
0.0696 0.2500 0.8657
0.2034 0.2500 0.4521
0.4402 0.7500 0.1510
0.5598 0.2500 0.8490
0.7966 0.7500 0.5479
0.9304 0.7500 0.1343
```

## Properties
polymorph energy (0 for the lowest one) = 6 meV/atom
size of the total moment = 0.0 μB per formula unit
DFT total energy = -4.53 eV/atom

6.
Entry from OQMD: LuAgPbSe3 after structural relaxation (PBE).

The structure in POSCAR format:
```
LuAgPbSe3
1.0
10.6613 0.0000 0.0000
0.0000 4.1004 0.0000
0.0000 0.0000 13.6634
Lu Ag Pb Se
4 4 4 12
Direct
0.0169 0.2500 0.2443
0.4831 0.7500 0.7443
0.5169 0.2500 0.2557
0.9831 0.7500 0.7557
0.2393 0.2500 0.7159
0.2607 0.7500 0.2159
0.7393 0.2500 0.7841
0.7607 0.7500 0.2841
0.2292 0.7500 0.5089
0.2708 0.2500 0.0089
0.7292 0.7500 0.9911
0.7708 0.2500 0.4911
0.0310 0.2500 0.6137
0.0641 0.7500 0.1050
0.2342 0.7500 0.8402
0.2658 0.2500 0.3402
0.4359 0.2500 0.6050
0.4690 0.7500 0.1137
0.5310 0.2500 0.8863
0.5641 0.7500 0.3950
0.7342 0.7500 0.6598
0.7658 0.2500 0.1598
0.9359 0.2500 0.8950
0.9690 0.7500 0.3863
```

## Properties
polymorph energy (0 for the lowest one) = 20 meV/atom
size of the total moment = 0.0 μB per formula unit
DFT total energy = -4.52 eV/atom

7.
Entry from OQMD: LuAgPbSe3 after structural relaxation (PBE).

The structure in POSCAR format:
```
LuAgPbSe3
1.0
2.0340 -6.9396 0.0000
2.0340 6.9396 0.0000
0.0000 0.0000 10.5439
Lu Ag Pb Se
2 2 2 6
Direct
0.0000 0.0000 0.0000
0.0000 0.0000 0.5000
0.4635 0.5365 0.7500
0.5365 0.4635 0.2500
0.2426 0.7574 0.2500
0.7574 0.2426 0.7500
0.0886 0.9114 0.7500
0.3587 0.6413 0.5461
0.3587 0.6413 0.9539
0.6413 0.3587 0.0461
0.6413 0.3587 0.4539
0.9114 0.0886 0.2500
```

## Properties
polymorph energy (0 for the lowest one) = 22 meV/atom
size of the total moment = 0.0 μB per formula unit
DFT total energy = -4.52 eV/atom

8.
Entry from OQMD: LuAgPbSe3 after structural relaxation (PBE).

The structure in POSCAR format:
```
LuAgPbSe3
1.0
11.8839 0.0000 0.0000
0.0000 4.1858 0.0000
0.0000 0.0000 12.2681
Lu Ag Pb Se
4 4 4 12
Direct
0.0215 0.2500 0.1820
0.4785 0.7500 0.6820
0.5215 0.2500 0.3180
0.9785 0.7500 0.8180
0.2451 0.7500 0.3047
0.2549 0.2500 0.8047
0.7451 0.7500 0.1953
0.7549 0.2500 0.6953
0.1782 0.2500 0.5003
0.3218 0.7500 0.0003
0.6782 0.2500 0.9997
0.8218 0.7500 0.4997
0.0260 0.7500 0.3503
0.0821 0.2500 0.9310
0.2457 0.7500 0.6657
0.2543 0.2500 0.1657
0.4179 0.7500 0.4310
0.4740 0.2500 0.8503
0.5260 0.7500 0.1497
0.5821 0.2500 0.5690
0.7457 0.7500 0.8343
0.7543 0.2500 0.3343
0.9179 0.7500 0.0690
0.9740 0.2500 0.6497
```

## Properties
polymorph energy (0 for the lowest one) = 74 meV/atom
size of the total moment = 0.0 μB per formula unit
DFT total energy = -4.47 eV/atom

9.
Entry from OQMD: LuAgPbSe3 after structural relaxation (PBE).

The structure in POSCAR format:
```
LuAgPbSe3
1.0
8.4852 0.0000 0.0000
0.0000 4.2448 0.0000
0.0000 0.0000 16.4828
Lu Ag Pb Se
4 4 4 12
Direct
0.2415 0.2500 0.0311
0.2585 0.7500 0.5311
0.7415 0.2500 0.4689
0.7585 0.7500 0.9689
0.1291 0.7500 0.8583
0.3709 0.2500 0.3583
0.6291 0.7500 0.6417
0.8709 0.2500 0.1417
0.0739 0.7500 0.2794
0.4261 0.2500 0.7794
0.5739 0.7500 0.2206
0.9261 0.2500 0.7206
0.0284 0.7500 0.0861
0.1156 0.2500 0.4477
0.1861 0.7500 0.7006
0.3139 0.2500 0.2006
0.3844 0.7500 0.9477
0.4716 0.2500 0.5861
0.5284 0.7500 0.4139
0.6156 0.2500 0.0523
0.6861 0.7500 0.7994
0.8139 0.2500 0.2994
0.8844 0.7500 0.5523
0.9716 0.2500 0.9139
```

## Properties
polymorph energy (0 for the lowest one) = 69 meV/atom
size of the total moment = 0.0 μB per formula unit
DFT total energy = -4.47 eV/atom

10.
Entry from OQMD: LuAgPbSe3 after structural relaxation (PBE).

The structure in POSCAR format:
```
LuAgPbSe3
1.0
8.9451 -2.0284 0.0000
8.9451 2.0284 0.0000
-1.9449 0.0000 8.4482
Lu Ag Pb Se
2 2 2 6
Direct
0.1644 0.1644 0.0865
0.8356 0.8356 0.9135
0.4729 0.4729 0.7870
0.5271 0.5271 0.2130
0.1335 0.1335 0.5726
0.8665 0.8665 0.4274
0.0000 0.0000 0.0000
0.3164 0.3164 0.6796
0.3271 0.3271 0.1379
0.5000 0.5000 0.5000
0.6729 0.6729 0.8621
0.6836 0.6836 0.3204
```

## Properties
polymorph energy (0 for the lowest one) = 6 meV/atom
size of the total moment = 0.0 μB per formula unit
DFT total energy = -4.53 eV/atom

11.
Entry from OQMD: LuAgPbSe3 after structural relaxation (PBE).

The structure in POSCAR format:
```
LuAgPbSe3
1.0
13.6649 0.0000 0.0000
0.0000 4.1004 0.0000
0.0000 0.0000 10.8350
Lu Ag Pb Se
4 4 4 12
Direct
0.0164 0.2500 0.1697
0.4836 0.7500 0.6697
0.5164 0.2500 0.3303
0.9836 0.7500 0.8303
0.0112 0.7500 0.4085
0.4888 0.2500 0.9085
0.5112 0.7500 0.0915
0.9888 0.2500 0.5915
0.2269 0.2500 0.4581
0.2731 0.7500 0.9581
0.7269 0.2500 0.0419
0.7731 0.7500 0.5419
0.1033 0.2500 0.9346
0.1181 0.7500 0.6305
0.1496 0.7500 0.2382
0.3504 0.2500 0.7382
0.3819 0.2500 0.1305
0.3967 0.7500 0.4346
0.6033 0.2500 0.5654
0.6181 0.7500 0.8695
0.6496 0.7500 0.2618
0.8504 0.2500 0.7618
0.8819 0.2500 0.3695
0.8967 0.7500 0.0654
```

## Properties
polymorph energy (0 for the lowest one) = 0 meV/atom
size of the total moment = 0.0 μB per formula unit
DFT total energy = -4.54 eV/atom

12.
Entry from OQMD: LuAgTePbSe2 after structural relaxation (PBE).

The structure in POSCAR format:
```
LuAgTePbSe2
1.0
2.0683 -7.0558 0.0000
2.0683 7.0558 0.0000
0.0000 0.0000 11.1138
Lu Ag Te Pb Se
2 2 2 2 4
Direct
0.0000 0.0000 0.0000
0.0000 0.0000 0.5000
0.4687 0.5313 0.7500
0.5313 0.4687 0.2500
0.1029 0.8971 0.7500
0.8971 0.1029 0.2500
0.2171 0.7829 0.2500
0.7829 0.2171 0.7500
0.3661 0.6339 0.5524
0.3661 0.6339 0.9476
0.6339 0.3661 0.0524
0.6339 0.3661 0.4476
```

## Properties
size of the total moment = 0.0 μB per formula unit
DFT total energy = -4.37 eV/atom

13.
Entry from OQMD: LuAgTe2PbSe after structural relaxation (PBE).

The structure in POSCAR format:
```
LuAgTe2PbSe
1.0
2.1566 -7.3167 0.0000
2.1566 7.3167 0.0000
0.0000 0.0000 10.5955
Lu Ag Te Pb Se
2 2 4 2 2
Direct
0.0000 0.0000 0.0000
0.0000 0.0000 0.5000
0.4752 0.5248 0.7500
0.5248 0.4752 0.2500
0.3538 0.6462 0.5487
0.3538 0.6462 0.9513
0.6462 0.3538 0.0487
0.6462 0.3538 0.4513
0.2551 0.7449 0.2500
0.7449 0.2551 0.7500
0.0829 0.9171 0.7500
0.9171 0.0829 0.2500
```

## Properties
size of the total moment = 0.0 μB per formula unit
DFT total energy = -4.23 eV/atom

14.
Entry from OQMD: TbLuAg2Pb2 after structural relaxation (PBE).

The structure in POSCAR format:
```
TbLuAg2Pb2
1.0
4.7908 0.0000 0.0000
-2.3954 4.1490 0.0000
0.0000 0.0000 7.4179
Tb Lu Ag Pb
1 1 2 2
Direct
0.0000 0.0000 0.0000
0.0000 0.0000 0.5014
0.3333 0.6667 0.6795
0.6667 0.3333 0.1854
0.3333 0.6667 0.2808
0.6667 0.3333 0.7776
```

## Properties
size of the total moment = 0.0 μB per formula unit
DFT total energy = -4.07 eV/atom

15.
Entry from OQMD: TmLuAg2Pb2 after structural relaxation (PBE).

The structure in POSCAR format:
```
TmLuAg2Pb2
1.0
4.7803 0.0000 0.0000
-2.3902 4.1399 0.0000
0.0000 0.0000 7.3973
Tm Lu Ag Pb
1 1 2 2
Direct
0.0000 0.0000 0.0000
0.0000 0.0000 0.5002
0.3333 0.6667 0.6783
0.6667 0.3333 0.1786
0.3333 0.6667 0.2776
0.6667 0.3333 0.7773
```

## Properties
size of the total moment = 0.0 μB per formula unit
DFT total energy = -4.02 eV/atom

16.
Entry from OQMD: Lu2AgPd after structural relaxation (PBE).

The structure in POSCAR format:
```
Lu2AgPd
1.0
0.0000 3.4050 3.4050
3.4050 0.0000 3.4050
3.4050 3.4050 0.0000
Lu Ag Pd
2 1 1
Direct
0.0000 0.0000 0.0000
0.2500 0.2500 0.2500
0.7500 0.7500 0.7500
0.5000 0.5000 0.5000
```

## Properties
energy of formation = -0.335 eV per atom
size of the total moment = 0.0 μB per formula unit
DFT total energy = -4.60 eV/atom

17.
Entry from OQMD: PmLuAg after structural relaxation (PBE).

The structure in POSCAR format:
```
PmLuAg
1.0
0.0000 3.4646 3.4646
3.4646 0.0000 3.4646
3.4646 3.4646 0.0000
Pm Lu Ag
1 1 1
Direct
0.0000 0.0000 0.0000
0.7500 0.7500 0.7500
0.5000 0.5000 0.5000
```

## Properties
energy of formation = 0.449 eV per atom
size of the total moment = 0.0 μB per formula unit
DFT total energy = -3.58 eV/atom

18.
Entry from OQMD: PrLuAg2Sn2 after structural relaxation (PBE).

The structure in POSCAR format:
```
PrLuAg2Sn2
1.0
4.7475 0.0000 0.0000
-2.3737 4.1115 0.0000
0.0000 0.0000 7.4584
Pr Lu Ag Sn
1 1 2 2
Direct
0.0000 0.0000 0.0000
0.0000 0.0000 0.5023
0.3333 0.6667 0.2161
0.6667 0.3333 0.6810
0.3333 0.6667 0.7712
0.6667 0.3333 0.2865
```

## Properties
size of the total moment = 0.0 μB per formula unit
DFT total energy = -4.40 eV/atom

19.
Entry from OQMD: PrLuAgTe3 after structural relaxation (PBE).

The structure in POSCAR format:
```
PrLuAgTe3
1.0
2.1235 -7.3286 0.0000
2.1235 7.3286 0.0000
0.0000 0.0000 11.0048
Pr Lu Ag Te
2 2 2 6
Direct
0.2264 0.7736 0.7500
0.7736 0.2264 0.2500
0.0000 0.0000 0.0000
0.0000 0.0000 0.5000
0.4715 0.5285 0.2500
0.5285 0.4715 0.7500
0.1003 0.8997 0.2500
0.3533 0.6467 0.0505
0.3533 0.6467 0.4495
0.6467 0.3533 0.5505
0.6467 0.3533 0.9495
0.8997 0.1003 0.7500
```

## Properties
size of the total moment = 0.0 μB per formula unit
DFT total energy = -4.61 eV/atom

20.
Entry from OQMD: LuAgPt2 after structural relaxation (PBE).

The structure in POSCAR format:
```
LuAgPt2
1.0
0.0000 3.6431 3.6431
3.6431 0.0000 3.6431
3.6431 3.6431 0.0000
Lu Ag Pt
1 1 2
Direct
0.0000 0.0000 0.0000
0.2500 0.2500 0.2500
0.5000 0.5000 0.5000
0.7500 0.7500 0.7500
```

## Properties
energy of formation = -0.171 eV per atom
size of the total moment = 0.0 μB per formula unit
DFT total energy = -5.04 eV/atom